No. 1
# PaZnNi5Ge2 | Alexandria via LeMat-Bulk | PBE | relaxed
# Spin magnetization in μB/cell: 0.00
# D(E_F) in states/eV/f.u.: 2.97
# Formation energy from the elements in eV per formula unit: -1.4
# Crystal system: tetragonal
data_PaZnNi5Ge2
_cell_length_a 4.176
_cell_length_b 4.176
_cell_length_c 7.836
_cell_angle_alpha 90.00
_cell_angle_beta 90.00
_cell_angle_gamma 90.00
_symmetry_space_group_name_H-M 'P 1'
_symmetry_Int_Tables_number 1
loop_
_symmetry_equiv_pos_as_xyz
'x,y,z'
loop_
_atom_site_label
_atom_site_fract_x
_atom_site_fract_y
_atom_site_fract_z
_atom_site_occupancy
Pa1 0.000 0.000 0.000 1
Zn1 0.000 0.000 0.500 1
Ni1 0.000 0.500 0.216 1
Ni2 0.000 0.500 0.784 1
Ni3 0.500 0.000 0.216 1
Ni4 0.500 0.000 0.784 1
Ni5 0.500 0.500 0.000 1
Ge1 0.500 0.500 0.346 1
Ge2 0.500 0.500 0.654 1

***

No. 2
# Pa2ZnNi4Ge3 | Alexandria via LeMat-Bulk | PBE | relaxed
# Spin magnetization in μB/cell: 0.00
# D(E_F) in states/eV/f.u.: 8.39
# Formation energy from the elements in eV per formula unit: -5.5
# Crystal system: tetragonal
data_Pa2ZnNi4Ge3
_cell_length_a 4.046
_cell_length_b 4.046
_cell_length_c 9.777
_cell_angle_alpha 90.00
_cell_angle_beta 90.00
_cell_angle_gamma 90.00
_symmetry_space_group_name_H-M 'P 1'
_symmetry_Int_Tables_number 1
loop_
_symmetry_equiv_pos_as_xyz
'x,y,z'
loop_
_atom_site_label
_atom_site_fract_x
_atom_site_fract_y
_atom_site_fract_z
_atom_site_occupancy
Pa1 0.000 0.500 0.245 1
Pa2 0.500 0.000 0.755 1
Zn1 0.000 0.000 0.500 1
Ni1 0.000 0.000 0.000 1
Ni2 0.000 0.500 0.637 1
Ni3 0.500 0.000 0.363 1
Ni4 0.500 0.500 0.000 1
Ge1 0.000 0.500 0.872 1
Ge2 0.500 0.000 0.128 1
Ge3 0.500 0.500 0.500 1

***

No. 3
# NiGe3Pb | Alexandria via LeMat-Bulk | PBE | relaxed
# Polymorph energy (0 for the lowest one) in meV per atom: 1354
# Spin magnetization in μB/cell: 0.41
# D(E_F) in states/eV/f.u.: 6.42
# Formation energy from the elements in eV per formula unit: 7.7
# Crystal system: cubic
data_NiGe3Pb
_cell_length_a 5.380
_cell_length_b 5.380
_cell_length_c 5.380
_cell_angle_alpha 90.00
_cell_angle_beta 90.00
_cell_angle_gamma 90.00
_symmetry_space_group_name_H-M 'P 1'
_symmetry_Int_Tables_number 1
loop_
_symmetry_equiv_pos_as_xyz
'x,y,z'
loop_
_atom_site_label
_atom_site_fract_x
_atom_site_fract_y
_atom_site_fract_z
_atom_site_occupancy
Ni1 0.000 0.000 0.000 1
Ge1 0.000 0.500 0.500 1
Ge2 0.500 0.000 0.500 1
Ge3 0.500 0.500 0.000 1
Pb1 0.500 0.500 0.500 1

***

No. 4
# Ni2GePb2 | Alexandria via LeMat-Bulk | PBE | relaxed
# Spin magnetization in μB/cell: 0.00
# D(E_F) in states/eV/f.u.: 3.01
# Formation energy from the elements in eV per formula unit: 0.9
# Crystal system: tetragonal
data_Ni2GePb2
_cell_length_a 6.581
_cell_length_b 6.581
_cell_length_c 4.449
_cell_angle_alpha 90.00
_cell_angle_beta 90.00
_cell_angle_gamma 90.00
_symmetry_space_group_name_H-M 'P 1'
_symmetry_Int_Tables_number 1
loop_
_symmetry_equiv_pos_as_xyz
'x,y,z'
loop_
_atom_site_label
_atom_site_fract_x
_atom_site_fract_y
_atom_site_fract_z
_atom_site_occupancy
Ni1 0.143 0.357 0.000 1
Ni2 0.357 0.857 0.000 1
Ni3 0.643 0.143 0.000 1
Ni4 0.857 0.643 0.000 1
Ge1 0.000 0.000 0.000 1
Ge2 0.500 0.500 0.000 1
Pb1 0.170 0.670 0.500 1
Pb2 0.330 0.170 0.500 1
Pb3 0.670 0.830 0.500 1
Pb4 0.830 0.330 0.500 1

***

No. 5
# NiGe3Pb | Alexandria via LeMat-Bulk | PBE | relaxed
# Polymorph energy (0 for the lowest one) in meV per atom: 0
# Spin magnetization in μB/cell: 0.00
# D(E_F) in states/eV/f.u.: 1.46
# Formation energy from the elements in eV per formula unit: 1.0
# Crystal system: cubic
data_NiGe3Pb
_cell_length_a 4.730
_cell_length_b 4.730
_cell_length_c 4.730
_cell_angle_alpha 90.00
_cell_angle_beta 90.00
_cell_angle_gamma 90.00
_symmetry_space_group_name_H-M 'P 1'
_symmetry_Int_Tables_number 1
loop_
_symmetry_equiv_pos_as_xyz
'x,y,z'
loop_
_atom_site_label
_atom_site_fract_x
_atom_site_fract_y
_atom_site_fract_z
_atom_site_occupancy
Ni1 0.000 0.000 0.000 1
Ge1 0.000 0.000 0.500 1
Ge2 0.000 0.500 0.000 1
Ge3 0.500 0.000 0.000 1
Pb1 0.500 0.500 0.500 1

***

No. 6
# NiGePb2 | Alexandria via LeMat-Bulk | PBE | relaxed
# Spin magnetization in μB/cell: 0.00
# D(E_F) in states/eV/f.u.: 0.47
# Formation energy from the elements in eV per formula unit: 1.8
# Crystal system: tetragonal
data_NiGePb2
_cell_length_a 8.684
_cell_length_b 8.684
_cell_length_c 8.684
_cell_angle_alpha 144.61
_cell_angle_beta 144.61
_cell_angle_gamma 50.92
_symmetry_space_group_name_H-M 'P 1'
_symmetry_Int_Tables_number 1
loop_
_symmetry_equiv_pos_as_xyz
'x,y,z'
loop_
_atom_site_label
_atom_site_fract_x
_atom_site_fract_y
_atom_site_fract_z
_atom_site_occupancy
Ni1 0.000 0.000 0.000 1
Ni2 0.750 0.250 0.500 1
Ge1 0.250 0.750 0.500 1
Ge2 0.500 0.500 0.000 1
Pb1 0.073 0.625 0.948 1
Pb2 0.375 0.323 0.448 1
Pb3 0.677 0.125 0.052 1
Pb4 0.875 0.927 0.552 1

***

No. 7
# NiGe2Pt7Pb2 | Alexandria via LeMat-Bulk | PBE | relaxed
# Spin magnetization in μB/cell: 0.00
# D(E_F) in states/eV/f.u.: 3.94
# Formation energy from the elements in eV per formula unit: -2.7
# Crystal system: tetragonal
data_NiGe2Pt7Pb2
_cell_length_a 15.827
_cell_length_b 15.827
_cell_length_c 15.827
_cell_angle_alpha 165.85
_cell_angle_beta 165.85
_cell_angle_gamma 20.06
_symmetry_space_group_name_H-M 'P 1'
_symmetry_Int_Tables_number 1
loop_
_symmetry_equiv_pos_as_xyz
'x,y,z'
loop_
_atom_site_label
_atom_site_fract_x
_atom_site_fract_y
_atom_site_fract_z
_atom_site_occupancy
Ni1 0.000 0.000 0.000 1
Ge1 0.385 0.385 0.000 1
Ge2 0.615 0.615 0.000 1
Pt1 0.064 0.564 0.500 1
Pt2 0.307 0.307 0.000 1
Pt3 0.436 0.936 0.500 1
Pt4 0.500 0.500 0.000 1
Pt5 0.564 0.064 0.500 1
Pt6 0.693 0.693 0.000 1
Pt7 0.936 0.436 0.500 1
Pb1 0.211 0.211 0.000 1
Pb2 0.789 0.789 0.000 1

***

No. 8
# RbNiGePb2 | Alexandria via LeMat-Bulk | PBE | relaxed
# Spin magnetization in μB/cell: 0.00
# D(E_F) in states/eV/f.u.: 4.01
# Formation energy from the elements in eV per formula unit: 7.8
# Crystal system: tetragonal
data_RbNiGePb2
_cell_length_a 6.173
_cell_length_b 6.173
_cell_length_c 4.641
_cell_angle_alpha 90.00
_cell_angle_beta 90.00
_cell_angle_gamma 90.00
_symmetry_space_group_name_H-M 'P 1'
_symmetry_Int_Tables_number 1
loop_
_symmetry_equiv_pos_as_xyz
'x,y,z'
loop_
_atom_site_label
_atom_site_fract_x
_atom_site_fract_y
_atom_site_fract_z
_atom_site_occupancy
Rb1 0.000 0.000 0.000 1
Ni1 0.000 0.000 0.500 1
Ge1 0.500 0.500 0.500 1
Pb1 0.000 0.500 0.000 1
Pb2 0.500 0.000 0.000 1

***

No. 9
# RbNi2GePb | Alexandria via LeMat-Bulk | PBE | relaxed
# Spin magnetization in μB/cell: 0.00
# D(E_F) in states/eV/f.u.: 5.36
# Formation energy from the elements in eV per formula unit: 9.3
# Crystal system: tetragonal
data_RbNi2GePb
_cell_length_a 4.702
_cell_length_b 4.702
_cell_length_c 6.256
_cell_angle_alpha 90.00
_cell_angle_beta 90.00
_cell_angle_gamma 90.00
_symmetry_space_group_name_H-M 'P 1'
_symmetry_Int_Tables_number 1
loop_
_symmetry_equiv_pos_as_xyz
'x,y,z'
loop_
_atom_site_label
_atom_site_fract_x
_atom_site_fract_y
_atom_site_fract_z
_atom_site_occupancy
Rb1 0.000 0.000 0.000 1
Ni1 0.000 0.500 0.000 1
Ni2 0.500 0.000 0.000 1
Ge1 0.500 0.500 0.500 1
Pb1 0.000 0.000 0.500 1

***

No. 10
# SrNiGe2Pb | Alexandria via LeMat-Bulk | PBE | relaxed
# Spin magnetization in μB/cell: 0.00
# D(E_F) in states/eV/f.u.: 4.11
# Formation energy from the elements in eV per formula unit: 5.9
# Crystal system: tetragonal
data_SrNiGe2Pb
_cell_length_a 5.437
_cell_length_b 5.437
_cell_length_c 4.711
_cell_angle_alpha 90.00
_cell_angle_beta 90.00
_cell_angle_gamma 90.00
_symmetry_space_group_name_H-M 'P 1'
_symmetry_Int_Tables_number 1
loop_
_symmetry_equiv_pos_as_xyz
'x,y,z'
loop_
_atom_site_label
_atom_site_fract_x
_atom_site_fract_y
_atom_site_fract_z
_atom_site_occupancy
Sr1 0.000 0.000 0.000 1
Ni1 0.000 0.000 0.500 1
Ge1 0.000 0.500 0.000 1
Ge2 0.500 0.000 0.000 1
Pb1 0.500 0.500 0.500 1

***

No. 11
# Ni2Ge2Pd | Alexandria via LeMat-Bulk | PBE | relaxed
# Polymorph energy (0 for the lowest one) in meV per atom: 11
# Spin magnetization in μB/cell: 0.00
# D(E_F) in states/eV/f.u.: 2.58
# Formation energy from the elements in eV per formula unit: -1.5
# Crystal system: orthorhombic
data_Ni2Ge2Pd
_cell_length_a 6.983
_cell_length_b 6.983
_cell_length_c 6.983
_cell_angle_alpha 156.59
_cell_angle_beta 148.92
_cell_angle_gamma 39.27
_symmetry_space_group_name_H-M 'P 1'
_symmetry_Int_Tables_number 1
loop_
_symmetry_equiv_pos_as_xyz
'x,y,z'
loop_
_atom_site_label
_atom_site_fract_x
_atom_site_fract_y
_atom_site_fract_z
_atom_site_occupancy
Ni1 0.190 0.190 0.000 1
Ni2 0.810 0.810 0.000 1
Ge1 0.371 0.371 0.000 1
Ge2 0.629 0.629 0.000 1
Pd1 0.000 0.500 0.500 1

***

No. 12
# NiGePd4 | Alexandria via LeMat-Bulk | PBE | relaxed
# Spin magnetization in μB/cell: 1.54
# D(E_F) in states/eV/f.u.: 7.09
# Formation energy from the elements in eV per formula unit: 0.0
# Crystal system: tetragonal
data_NiGePd4
_cell_length_a 5.916
_cell_length_b 5.916
_cell_length_c 5.397
_cell_angle_alpha 90.00
_cell_angle_beta 90.00
_cell_angle_gamma 90.00
_symmetry_space_group_name_H-M 'P 1'
_symmetry_Int_Tables_number 1
loop_
_symmetry_equiv_pos_as_xyz
'x,y,z'
loop_
_atom_site_label
_atom_site_fract_x
_atom_site_fract_y
_atom_site_fract_z
_atom_site_occupancy
Ni1 0.000 0.000 0.000 1
Ni2 0.000 0.000 0.500 1
Ge1 0.000 0.500 0.250 1
Ge2 0.500 0.000 0.750 1
Pd1 0.245 0.320 0.896 1
Pd2 0.245 0.680 0.604 1
Pd3 0.320 0.245 0.396 1
Pd4 0.320 0.755 0.104 1
Pd5 0.680 0.245 0.104 1
Pd6 0.680 0.755 0.396 1
Pd7 0.755 0.320 0.604 1
Pd8 0.755 0.680 0.896 1